(1)
Computed, not measured: a geometry-optimized CeTm2Zn6 structure at the GGA-PBE level of DFT.

Output
Symmetry: P6/mmm
Energy in eV/atom: -2.8378
N(E_F) in states/eV per atom: 1.07
ΔE_f in eV per atom: -0.34

a = 7.7924 Å, b = 7.7924 Å, c = 3.4151 Å
α = 90.00°, β = 90.00°, γ = 120.00°
Fractional coordinates of all 9 atoms:
Ce: 0.0000 0.0000 0.0000
Tm: 0.3333 0.6667 0.0000
Tm: 0.6667 0.3333 0.0000
Zn: 0.0000 0.3375 0.5000
Zn: 0.0000 0.6625 0.5000
Zn: 0.3375 0.0000 0.5000
Zn: 0.3375 0.3375 0.5000
Zn: 0.6625 0.0000 0.5000
Zn: 0.6625 0.6625 0.5000

---

(2)
Computed, not measured: a geometry-optimized YSi2Br structure at the GGA-PBE level of DFT.

Output
Symmetry: Cm
Energy in eV/atom: -5.2469
N(E_F) in states/eV per atom: 0.00
ΔE to the lowest computed polymorph in eV/atom: 0.218

a = 10.7125 Å, b = 3.8197 Å, c = 7.5596 Å
α = 90.00°, β = 134.28°, γ = 90.00°
Fractional coordinates of all 8 atoms:
Y: 0.0000 0.0000 0.0000
Y: 0.5000 0.5000 0.0000
Si: 0.2444 0.5000 0.3950
Si: 0.3750 0.0000 0.6133
Si: 0.7444 0.0000 0.3950
Si: 0.8750 0.5000 0.6133
Br: 0.2866 0.0000 0.9951
Br: 0.7866 0.5000 0.9951

---

(3)
Computed, not measured: a geometry-optimized LiAc2LaTl4 structure at the GGA-PBE level of DFT.

Output
Symmetry: R-3m
Energy in eV/atom: -3.4016
N(E_F) in states/eV per atom: 0.83
ΔE_f in eV per atom: -0.34

a = 10.1066 Å, b = 10.1066 Å, c = 10.1066 Å
α = 31.93°, β = 31.93°, γ = 31.93°
Fractional coordinates of all 8 atoms:
Li: 0.0000 0.0000 0.0000
Ac: 0.2561 0.2561 0.2561
Ac: 0.7439 0.7439 0.7439
La: 0.5000 0.5000 0.5000
Tl: 0.1254 0.1254 0.1254
Tl: 0.3726 0.3726 0.3726
Tl: 0.6274 0.6274 0.6274
Tl: 0.8746 0.8746 0.8746

---

(4)
Computed, not measured: a geometry-optimized GeTe2BrCl structure at the GGA-PBE level of DFT.

Output
Symmetry: P4/mmm
Energy in eV/atom: -2.1607
N(E_F) in states/eV per atom: 1.07
ΔE to the lowest computed polymorph in eV/atom: 0.075

a = 5.5685 Å, b = 5.5685 Å, c = 5.1608 Å
α = 90.00°, β = 90.00°, γ = 90.00°
Fractional coordinates of all 5 atoms:
Ge: 0.0000 0.0000 0.0000
Te: 0.0000 0.5000 0.5000
Te: 0.5000 0.0000 0.5000
Br: 0.5000 0.5000 0.0000
Cl: 0.0000 0.0000 0.5000

---

(5)
Computed, not measured: a geometry-optimized LiIrO3 structure at the GGA-PBE level of DFT.

Output
Symmetry: Pm-3m
Energy in eV/atom: -5.8942
N(E_F) in states/eV per atom: 0.70

a = 3.8445 Å, b = 3.8445 Å, c = 3.8445 Å
α = 90.00°, β = 90.00°, γ = 90.00°
Fractional coordinates of all 5 atoms:
Li: 0.0000 0.0000 0.0000
Ir: 0.5000 0.5000 0.5000
O: 0.0000 0.5000 0.5000
O: 0.5000 0.0000 0.5000
O: 0.5000 0.5000 0.0000

---

(6)
Computed, not measured: a geometry-optimized In2BMoS structure at the GGA-PBE level of DFT.

Output
Symmetry: P4/mmm
Energy in eV/atom: -4.2039
N(E_F) in states/eV per atom: 0.74

a = 5.4870 Å, b = 5.4870 Å, c = 3.3456 Å
α = 90.00°, β = 90.00°, γ = 90.00°
Fractional coordinates of all 5 atoms:
In: 0.0000 0.5000 0.0000
In: 0.5000 0.0000 0.0000
B: 0.0000 0.0000 0.5000
Mo: 0.5000 0.5000 0.5000
S: 0.0000 0.0000 0.0000

---

(7)
Computed, not measured: a geometry-optimized PmTh3Ni8 structure at the GGA-PBE level of DFT.

Output
Symmetry: R3m
Energy in eV/atom: -6.4493
N(E_F) in states/eV per atom: 0.84
ΔE_f in eV per atom: -0.34

a = 8.9487 Å, b = 8.9487 Å, c = 8.9487 Å
α = 33.61°, β = 33.61°, γ = 33.61°
Fractional coordinates of all 12 atoms:
Pm: 0.0000 0.0000 0.0000
Th: 0.3704 0.3704 0.3704
Th: 0.4972 0.4972 0.4972
Th: 0.8758 0.8758 0.8758
Ni: 0.1859 0.1859 0.1859
Ni: 0.4361 0.4361 0.9346
Ni: 0.4361 0.9346 0.4361
Ni: 0.4378 0.9356 0.9356
Ni: 0.6863 0.6863 0.6863
Ni: 0.9346 0.4361 0.4361
Ni: 0.9356 0.4378 0.9356
Ni: 0.9356 0.9356 0.4378

---

(8)
Computed, not measured: a geometry-optimized Pu2CuTc structure at the GGA-PBE level of DFT.

Output
Symmetry: P4/mmm
Energy in eV/atom: -10.3237
N(E_F) in states/eV per atom: 2.05
ΔE_f in eV per atom: 0.46

a = 2.5081 Å, b = 2.5081 Å, c = 10.0744 Å
α = 90.00°, β = 90.00°, γ = 90.00°
Fractional coordinates of all 4 atoms:
Pu: 0.0000 0.0000 0.2402
Pu: 0.0000 0.0000 0.7598
Cu: 0.5000 0.5000 0.0000
Tc: 0.5000 0.5000 0.5000

---

(9)
Computed, not measured: a geometry-optimized Rb2MgPdBr6 structure at the GGA-PBE level of DFT.

Output
Symmetry: R-3m
Energy in eV/atom: -3.0542
N(E_F) in states/eV per atom: 0.30
ΔE to the lowest computed polymorph in eV/atom: 0.000

a = 13.5768 Å, b = 13.5768 Å, c = 13.5768 Å
α = 32.56°, β = 32.56°, γ = 32.56°
Fractional coordinates of all 20 atoms:
Rb: 0.1192 0.1192 0.1192
Rb: 0.2985 0.2985 0.2985
Rb: 0.7015 0.7015 0.7015
Rb: 0.8808 0.8808 0.8808
Mg: 0.4153 0.4153 0.4153
Mg: 0.5847 0.5847 0.5847
Pd: 0.0000 0.0000 0.0000
Pd: 0.5000 0.5000 0.5000
Br: 0.1370 0.6188 0.6188
Br: 0.2076 0.2076 0.7092
Br: 0.2076 0.7092 0.2076
Br: 0.2908 0.7924 0.7924
Br: 0.3812 0.3812 0.8630
Br: 0.3812 0.8630 0.3812
Br: 0.6188 0.1370 0.6188
Br: 0.6188 0.6188 0.1370
Br: 0.7092 0.2076 0.2076
Br: 0.7924 0.2908 0.7924
Br: 0.7924 0.7924 0.2908
Br: 0.8630 0.3812 0.3812

---

(10)
Computed, not measured: a geometry-optimized Li2PrCu2Sb2 structure at the GGA-PBE level of DFT.

Output
Symmetry: R-3m
Energy in eV/atom: -4.1513
N(E_F) in states/eV per atom: 0.25

a = 8.8918 Å, b = 8.8918 Å, c = 8.8918 Å
α = 28.91°, β = 28.91°, γ = 28.91°
Fractional coordinates of all 7 atoms:
Li: 0.1371 0.1371 0.1371
Li: 0.8629 0.8629 0.8629
Pr: 0.0000 0.0000 0.0000
Cu: 0.4120 0.4120 0.4120
Cu: 0.5880 0.5880 0.5880
Sb: 0.2493 0.2493 0.2493
Sb: 0.7507 0.7507 0.7507

---

(11)
Computed, not measured: a geometry-optimized NdY2Th structure at the GGA-PBE level of DFT.

Output
Symmetry: R-3m
Energy in eV/atom: -6.2634
N(E_F) in states/eV per atom: 1.33
ΔE_f in eV per atom: 0.02
ΔE to the lowest computed polymorph in eV/atom: 0.016

a = 3.6091 Å, b = 3.6091 Å, c = 34.9003 Å
α = 90.00°, β = 90.00°, γ = 120.00°
Fractional coordinates of all 12 atoms:
Nd: 0.0000 0.0000 0.0000
Nd: 0.3333 0.6667 0.6667
Nd: 0.6667 0.3333 0.3333
Y: 0.0000 0.0000 0.2476
Y: 0.0000 0.0000 0.7524
Y: 0.3333 0.6667 0.4190
Y: 0.3333 0.6667 0.9143
Y: 0.6667 0.3333 0.0857
Y: 0.6667 0.3333 0.5810
Th: 0.0000 0.0000 0.5000
Th: 0.3333 0.6667 0.1667
Th: 0.6667 0.3333 0.8333

---

(12)
Computed, not measured: a geometry-optimized BeNb2O structure at the GGA-PBE level of DFT.

Output
Symmetry: Fm-3m
Energy in eV/atom: -7.2960
N(E_F) in states/eV per atom: 0.39
ΔE to the lowest computed polymorph in eV/atom: 0.096

a = 5.8532 Å, b = 5.8532 Å, c = 5.8532 Å
α = 90.00°, β = 90.00°, γ = 90.00°
Fractional coordinates of all 16 atoms:
Be: 0.0000 0.0000 0.0000
Be: 0.0000 0.5000 0.5000
Be: 0.5000 0.0000 0.5000
Be: 0.5000 0.5000 0.0000
Nb: 0.2500 0.2500 0.2500
Nb: 0.2500 0.2500 0.7500
Nb: 0.2500 0.7500 0.2500
Nb: 0.2500 0.7500 0.7500
Nb: 0.7500 0.2500 0.2500
Nb: 0.7500 0.2500 0.7500
Nb: 0.7500 0.7500 0.2500
Nb: 0.7500 0.7500 0.7500
O: 0.0000 0.0000 0.5000
O: 0.0000 0.5000 0.0000
O: 0.5000 0.0000 0.0000
O: 0.5000 0.5000 0.5000

---

> Number 11 is which compound?

NdY2Th

---

> energy of number 4 (GeTe2BrCl)?

-2.1607 eV/atom

---

> The lowest energy belongs to which entry?

Pu2CuTc

---

> The highest energy belongs to which entry?

GeTe2BrCl